Computed, not measured: a geometry-optimized ScZn2Cr structure at the GGA-PBE level of DFT.

The structure in POSCAR format:
```
ScZn2Cr
1.0
3.2277 0.0000 0.0000
0.0000 3.2277 0.0000
0.0000 0.0000 6.3500
Sc Zn Cr
1 2 1
direct
0.0000 0.0000 0.0000
0.5000 0.5000 0.2811
0.5000 0.5000 0.7189
0.0000 0.0000 0.5000
```

Results
Formation energy from the elements, eV per atom: -0.0255
Mass density, g/cm³: 5.72
Space group: No. 123
Fermi-level density of states, states/eV/cell: 3.5
Offset from the most stable computed form, meV per atom: 59.1
Spin magnetization, μB per cell: 2.799
Calculated volume, Å³/cell: 66

Computed, not measured: a geometry-optimized ScZnCr4 structure at the GGA-PBE level of DFT.

The structure in POSCAR format:
```
ScZnCr4
1.0
0.0000 3.4653 3.4653
3.4653 0.0000 3.4653
3.4653 3.4653 0.0000
Sc Zn Cr
1 1 4
direct
0.0000 0.0000 0.0000
0.2500 0.2500 0.2500
0.1276 0.6241 0.6241
0.6241 0.1276 0.6241
0.6241 0.6241 0.1276
0.6241 0.6241 0.6241
```

Results
Formation energy from the elements, eV per atom: 0.2139
Mass density, g/cm³: 6.35
Space group: No. 216
Fermi-level density of states, states/eV/cell: 8.7
Spin magnetization, μB per cell: 0.000
Calculated volume, Å³/cell: 83